No. 1
The following is a PBE calculation of Hf2MgMoS after structural relaxation, from the Alexandria database.

abc: 4.920 4.920 5.172
angles: 90.00 90.00 90.00
Atoms (fractional coordinates):
Hf 0.000 0.500 0.000
Hf 0.500 0.000 0.000
Mg 0.000 0.000 0.500
Mo 0.000 0.000 0.000
S 0.500 0.500 0.500

Results
SG   P4/mmm, No. 123
Offset from the most stable computed form   0 meV per atom
Formation energy without anion corrections   0.802 eV per atom

=====

No. 2
The following is a PBE calculation of Hf2MgMoS after structural relaxation, from the Alexandria database.

abc: 5.092 5.092 4.207
angles: 90.00 90.00 90.00
Atoms (fractional coordinates):
Hf 0.000 0.500 0.000
Hf 0.500 0.000 0.000
Mg 0.000 0.000 0.000
Mo 0.500 0.500 0.500
S 0.000 0.000 0.500

Results
SG   P4/mmm, No. 123
Offset from the most stable computed form   623 meV per atom
Formation energy without anion corrections   1.425 eV per atom

=====

No. 3
The following is a PBE calculation of HfMgScMo after structural relaxation, from the Alexandria database.

abc: 4.799 4.799 4.799
angles: 60.00 60.00 60.00
Atoms (fractional coordinates):
Hf 0.000 0.000 0.000
Mg 0.250 0.250 0.250
Sc 0.500 0.500 0.500
Mo 0.750 0.750 0.750

Results
SG   F-43m, No. 216
Energy relative to the elements   79 meV/atom

=====

No. 4
The following is a PBE calculation of SrHfMg2Mo after structural relaxation, from the Alexandria database.

abc: 5.285 5.285 5.198
angles: 90.00 90.00 90.00
Atoms (fractional coordinates):
Sr 0.000 0.000 0.000
Hf 0.000 0.000 0.500
Mg 0.000 0.500 0.000
Mg 0.500 0.000 0.000
Mo 0.500 0.500 0.500

Results
SG   P4/mmm, No. 123
Energy relative to the elements   2229 meV/atom

=====

No. 5
The following is a PBE calculation of HfMg2TcMo after structural relaxation, from the Alexandria database.

abc: 4.965 4.965 4.751
angles: 90.00 90.00 90.00
Atoms (fractional coordinates):
Hf 0.000 0.000 0.000
Mg 0.000 0.500 0.500
Mg 0.500 0.000 0.500
Tc 0.000 0.000 0.500
Mo 0.500 0.500 0.000

Results
SG   P4/mmm, No. 123
Energy relative to the elements   1125 meV/atom

=====

No. 6
The following is a PBE calculation of HfMgTc2Mo after structural relaxation, from the Alexandria database.

abc: 4.613 4.613 4.967
angles: 90.00 90.00 90.00
Atoms (fractional coordinates):
Hf 0.000 0.000 0.000
Mg 0.000 0.000 0.500
Tc 0.000 0.500 0.000
Tc 0.500 0.000 0.000
Mo 0.500 0.500 0.500

Results
SG   P4/mmm, No. 123
Energy relative to the elements   2009 meV/atom

=====

No. 7
The following is a PBE calculation of HfMg2N after structural relaxation, from the Alexandria database.

abc: 6.060 6.060 6.060
angles: 97.42 97.42 137.89
Atoms (fractional coordinates):
Hf 0.000 0.000 0.000
Hf 0.750 0.250 0.500
Mg 0.235 0.125 0.610
Mg 0.375 0.765 0.890
Mg 0.515 0.625 0.390
Mg 0.875 0.485 0.110
N 0.250 0.750 0.500
N 0.500 0.500 0.000

Results
SG   I-42d, No. 122
Formation energy without anion corrections   -0.092 eV per atom

=====

No. 8
The following is a PBE calculation of HfMgN after structural relaxation, from the Alexandria database.

abc: 5.613 5.613 5.409
angles: 101.11 101.11 32.80
Atoms (fractional coordinates):
Hf 0.000 0.000 0.000
Hf 0.240 0.240 0.778
Mg 0.501 0.501 0.503
Mg 0.765 0.765 0.274
N 0.377 0.377 0.127
N 0.624 0.624 0.902

Results
SG   Cm, No. 8
Offset from the most stable computed form   81 meV per atom
Formation energy without anion corrections   -0.846 eV per atom

=====

Calculated density readings, ordered: 6.8 7.8 7.3 4.7 6.0 7.8 5.7 8.0 Mg/m³
Calculated volume readings, ordered: 25.04 21.81 19.54 29.04 23.43 21.14 17.41 15.07 Å³ per atom